A relaxed Tm5Co2As crystal. Source: Alexandria via LeMat-Bulk, functional PBE.

abc: 7.406 7.406 8.229
angles: 116.74 116.74 90.00
Fractional positions:
1 Co 0.367 0.867 0.000
2 Tm 0.521 0.701 0.723
3 Tm 0.701 0.201 0.723
4 Tm 0.299 0.799 0.277
5 Co 0.133 0.367 0.000
6 Co 0.633 0.133 0.000
7 Tm 0.000 0.000 0.000
8 Tm 0.479 0.299 0.277
9 Tm 0.799 0.979 0.277
10 Tm 0.979 0.479 0.277
11 Tm 0.500 0.500 0.000
12 Co 0.867 0.633 0.000
13 Tm 0.201 0.021 0.723
14 As 0.250 0.250 0.500
15 Tm 0.021 0.521 0.723
16 As 0.750 0.750 0.500

Values from the calculation:
Volume (A^3/atom): 21.8
Final energy (eV per cell): -90.623

=====

A relaxed ErLu3Mn crystal. Source: Alexandria via LeMat-Bulk, functional PBE.

abc: 5.172 5.172 5.172
angles: 90.00 90.00 90.00
Each line ends with the local moment (μB).
Fractional positions:
1 Lu 0.000 0.500 0.000  0.10
2 Lu 0.500 0.000 0.000  0.10
3 Mn 0.000 0.000 0.000  -1.24
4 Lu 0.000 0.000 0.500  0.10
5 Er 0.500 0.500 0.500  0.14

Values from the calculation:
Volume (A^3/atom): 27.7
Final energy (eV per cell): -26.210

=====

A relaxed Na2FePt2 crystal. Source: Alexandria via LeMat-Bulk, functional PBE.

abc: 6.405 6.405 4.789
angles: 90.00 90.00 90.00
Each line ends with the local moment (μB).
Fractional positions:
1 Pt 0.641 0.141 0.000  0.29
2 Na 0.830 0.330 0.500  -0.01
3 Fe 0.000 0.000 0.000  3.12
4 Pt 0.359 0.859 0.000  0.29
5 Na 0.170 0.670 0.500  -0.01
6 Pt 0.859 0.641 0.000  0.29
7 Pt 0.141 0.359 0.000  0.29
8 Na 0.330 0.170 0.500  -0.01
9 Fe 0.500 0.500 0.000  3.16
10 Na 0.670 0.830 0.500  -0.01

Values from the calculation:
Volume (A^3/atom): 19.6
Final energy (eV per cell): -46.358

=====

A relaxed InGaRh crystal. Source: Alexandria via LeMat-Bulk, functional PBE.

abc: 4.361 4.361 4.361
angles: 60.00 60.00 60.00
Fractional positions:
1 Rh 0.250 0.250 0.250
2 Ga 0.500 0.500 0.500
3 In 0.000 0.000 0.000

Values from the calculation:
Volume (A^3/atom): 19.5
Final energy (eV per cell): -14.100